{"formula": "MgIn4Pb4", "functional": "PBE-GGA", "state": "relaxed", "e_form_ev_per_atom": 0.0140, "dos_at_fermi_per_ev_atom": 0.58, "lattice": [[-3.9664, -2.0275, 1.9078], [1.0362, -0.7008, 7.5641], [-4.8720, 5.5855, 1.9611]], "species": ["Mg", "In", "In", "In", "In", "Pb", "Pb", "Pb", "Pb"], "fractional_positions": [[0.5000, 0.5000, 0.0000], [0.1626, 0.1751, 0.9997], [0.8374, 0.8249, 0.0003], [0.8377, 0.4997, 0.3249], [0.1623, 0.5003, 0.6751], [0.5007, 0.1739, 0.3247], [0.4993, 0.8261, 0.6753], [0.1746, 0.8247, 0.3261], [0.8254, 0.1753, 0.6739]]}